DFT (PBE+U) results for crystalline MnOF at its relaxed geometry.

Cell: 4.8053 2.9868 18.8986 Å, 90.00 95.70 90.00°
With the nearest neighbours (Å) after each atom.
Positions (direct):
Mn: 0.0000 0.0000 0.0000  2 O 1.89, 4 F 2.00
Mn: 0.0000 0.0000 0.5000  4 O 1.94
Mn: 0.0618 0.0000 0.2456  4 O 1.94
Mn: 0.4023 0.5000 0.8809  3 O 1.87-1.93, 2 F 2.01
Mn: 0.4704 0.5000 0.6269  2 O 1.89, 4 F 1.98
Mn: 0.5296 0.5000 0.3731  2 O 1.89, 4 F 1.98
Mn: 0.5977 0.5000 0.1191  3 O 1.87-1.93, 2 F 2.01
Mn: 0.9382 0.0000 0.7544  4 O 1.94
O: 0.1127 0.5000 0.8068  3 Mn 1.87-1.94
O: 0.1743 0.5000 0.5529  3 Mn 1.89-1.94
O: 0.2326 0.5000 0.2993  3 Mn 1.89-1.94
O: 0.2650 0.0000 0.9324  3 Mn 1.89-1.93
O: 0.7350 0.0000 0.0676  3 Mn 1.89-1.93
O: 0.7674 0.5000 0.7007  3 Mn 1.89-1.94
O: 0.8257 0.5000 0.4471  3 Mn 1.89-1.94
O: 0.8873 0.5000 0.1932  3 Mn 1.87-1.94
F: 0.2136 0.5000 0.0500  3 Mn 2.00-2.15
F: 0.2920 0.0000 0.6739  2 Mn 1.98
F: 0.3510 0.0000 0.4200  2 Mn 1.98
F: 0.4062 0.0000 0.1669  2 Mn 2.01
F: 0.5938 0.0000 0.8331  2 Mn 2.01
F: 0.6490 0.0000 0.5800  2 Mn 1.98
F: 0.7080 0.0000 0.3261  2 Mn 1.98
F: 0.7864 0.5000 0.9500  3 Mn 2.00-2.15

Values from the calculation:
E_tot	-0.2369	Ha/atom
DOS(E_F)	0.019	states/eV per atom
space group	P2/m, No. 10